one | First-principles (PBE) data for crystalline AlGaNi3 at its relaxed geometry, as listed in Alexandria via LeMat-Bulk.

Cell: 4.2784 4.2784 4.2784 Å, 90.00 90.00 90.00°
With the nearest neighbours (Å) after each atom.
Fractional coordinates of all 5 atoms:
Ni  0.0000  0.5000  0.0000  2 Ga 2.14
Al  0.5000  0.5000  0.5000  12 Ni 3.03
Ga  0.0000  0.0000  0.0000  6 Ni 2.14
Ni  0.5000  0.0000  0.0000  2 Ga 2.14
Ni  0.0000  0.0000  0.5000  2 Ga 2.14

Properties
- V: 15.663 A^3/atom
- Symmetry: Pm-3m (221)
- Spin magnetization: 0.0 μB/f.u.

=====

two | First-principles (PBE) data for crystalline AlGaNi3 at its relaxed geometry, as listed in Alexandria via LeMat-Bulk.

Cell: 4.6795 5.6309 5.6309 Å, 111.80 90.00 90.00°
With the nearest neighbours (Å) after each atom.
Fractional coordinates of all 10 atoms:
Ga  0.0000  0.0000  0.0000  6 Ni 2.33-2.37, 2 Ga 2.34
Ni  0.7500  0.2425  0.3782  2 Ni 2.35-2.39, 2 Ga 2.37, 1 Al 2.52
Ni  0.2500  0.3782  0.2425  2 Ni 2.35-2.39, 2 Ga 2.37, 1 Al 2.52
Ga  0.5000  0.0000  0.0000  6 Ni 2.33-2.37, 2 Ga 2.34
Ni  0.2500  0.7575  0.6218  2 Ni 2.35-2.39, 2 Ga 2.37, 1 Al 2.52
Al  0.2500  0.3295  0.6705  8 Ni 2.52-2.80
Ni  0.2500  0.7844  0.2156  2 Ga 2.33, 2 Ni 2.35, 2 Al 2.57
Al  0.7500  0.6705  0.3295  8 Ni 2.52-2.80
Ni  0.7500  0.6218  0.7575  2 Ni 2.35-2.39, 2 Ga 2.37, 1 Al 2.52
Ni  0.7500  0.2156  0.7844  2 Ga 2.33, 2 Ni 2.35, 2 Al 2.57

Properties
- V: 13.776 A^3/atom
- Symmetry: Cmcm (63)
- Spin magnetization: 0.0 μB/f.u.

=====

What should be chosen as the least stable of them? Choose one.

=====

one | First-principles (PBE) data for crystalline AlGaNiOs at its relaxed geometry, as listed in Alexandria via LeMat-Bulk.

Cell: 3.0413 3.0413 5.7155 Å, 90.00 90.00 90.00°
With the nearest neighbours (Å) after each atom.
Fractional coordinates of all 4 atoms:
Ga  0.0000  0.0000  0.8509  4 Ni 2.56, 4 Os 2.61, 1 Al 2.81
Os  0.5000  0.5000  0.1095  4 Al 2.58, 4 Ga 2.61, 2 Ni 2.85-2.86
Al  0.0000  0.0000  0.3589  4 Os 2.58, 4 Ni 2.58, 1 Ga 2.81
Ni  0.5000  0.5000  0.6087  4 Ga 2.56, 4 Al 2.58, 2 Os 2.85-2.86

Properties
- V: 13.217 A^3/atom
- Symmetry: P4mm (99)
- Spin magnetization: 0.0 μB/f.u.

=====

two | First-principles (PBE) data for crystalline AlGaNiOs at its relaxed geometry, as listed in Alexandria via LeMat-Bulk.

Cell: 4.2144 4.2144 4.2144 Å, 60.00 60.00 60.00°
With the nearest neighbours (Å) after each atom.
Fractional coordinates of all 4 atoms:
Ni  0.2500  0.2500  0.2500  4 Al 2.58, 4 Ga 2.58
Al  0.0000  0.0000  0.0000  4 Ni 2.58, 4 Os 2.58
Os  0.7500  0.7500  0.7500  4 Al 2.58, 4 Ga 2.58
Ga  0.5000  0.5000  0.5000  4 Ni 2.58, 4 Os 2.58

Properties
- V: 13.232 A^3/atom
- Symmetry: F-43m (216)
- Spin magnetization: 0.0 μB/f.u.

=====

What should be chosen as the least stable of them? Choose two.

=====

one | First-principles (PBE) data for crystalline PuAlGaNi at its relaxed geometry, as listed in Alexandria via LeMat-Bulk.

Cell: 4.6166 4.6166 4.6166 Å, 60.00 60.00 60.00°
With the nearest neighbours (Å) after each atom.
Fractional coordinates of all 4 atoms:
Ga  0.7500  0.7500  0.7500  4 Al 2.83, 4 Pu 2.83
Al  0.5000  0.5000  0.5000  4 Ni 2.83, 4 Ga 2.83
Ni  0.2500  0.2500  0.2500  4 Al 2.83, 4 Pu 2.83
Pu  0.0000  0.0000  0.0000  4 Ni 2.83, 4 Ga 2.83

Properties
- V: 17.394 A^3/atom
- Symmetry: F-43m (216)
- Spin magnetization: 4.9 μB/f.u.

=====

two | First-principles (PBE) data for crystalline PuAlGaNi at its relaxed geometry, as listed in Alexandria via LeMat-Bulk.

Cell: 4.0785 4.0785 5.7573 Å, 69.26 69.26 60.00°
With the nearest neighbours (Å) after each atom.
Fractional coordinates of all 4 atoms:
Al  0.6000  0.6000  0.1999  3 Ni 2.42, 3 Ga 2.69
Pu  0.8062  0.8062  0.5813  4 Ga 3.05-3.31, 4 Al 3.09-3.25
Ni  0.3033  0.3033  0.0900  3 Al 2.42, 3 Ga 2.47
Ga  0.0163  0.0163  0.9512  3 Ni 2.47, 3 Al 2.69

Properties
- V: 18.921 A^3/atom
- Symmetry: R3m (160)
- Spin magnetization: 5.6 μB/f.u.

=====

What should be chosen as the least stable of them? Choose one.

=====

one | First-principles (PBE) data for crystalline NpAlGa4 at its relaxed geometry, as listed in Alexandria via LeMat-Bulk.

Cell: 3.8055 3.8055 8.9009 Å, 90.00 90.00 90.00°
With the nearest neighbours (Å) after each atom.
Fractional coordinates of all 6 atoms:
Ga  0.0000  0.5000  0.2748  4 Ga 2.69, 2 Al 2.76
Al  0.5000  0.5000  0.5000  8 Ga 2.76
Np  0.0000  0.0000  0.0000  8 Ga 3.10
Ga  0.5000  0.0000  0.7252  4 Ga 2.69, 2 Al 2.76
Ga  0.5000  0.0000  0.2748  4 Ga 2.69, 2 Al 2.76
Ga  0.0000  0.5000  0.7252  4 Ga 2.69, 2 Al 2.76

Properties
- V: 21.483 A^3/atom
- Symmetry: P4/mmm (123)
- Spin magnetization: 4.8 μB/f.u.

=====

two | First-principles (PBE) data for crystalline NpAlGa4 at its relaxed geometry, as listed in Alexandria via LeMat-Bulk.

Cell: 4.5367 4.1910 6.3199 Å, 70.64 90.00 90.00°
With the nearest neighbours (Å) after each atom.
Fractional coordinates of all 6 atoms:
Al  0.5000  0.5000  0.0000  8 Ga 2.88-3.13, 4 Np 3.09
Ga  0.0000  0.3185  0.3629  4 Ga 2.66-2.91
Ga  0.5000  0.8344  0.3312  2 Al 2.88, 8 Ga 2.91-3.09, 2 Np 3.01
Np  0.0000  0.0000  0.0000  8 Ga 3.01, 4 Al 3.09
Ga  0.5000  0.1656  0.6688  2 Al 2.88, 8 Ga 2.91-3.09, 2 Np 3.01
Ga  0.0000  0.6815  0.6371  4 Ga 2.66-2.91

Properties
- V: 18.894 A^3/atom
- Symmetry: Cmmm (65)
- Spin magnetization: 4.2 μB/f.u.

=====

three | First-principles (PBE) data for crystalline NpAlGa4 at its relaxed geometry, as listed in Alexandria via LeMat-Bulk.

Cell: 5.4604 5.4604 5.4604 Å, 60.00 60.00 60.00°
With the nearest neighbours (Å) after each atom.
Fractional coordinates of all 6 atoms:
Ga  0.6250  0.1249  0.6250  6 Ga 2.73
Ga  0.6250  0.6250  0.6250  6 Ga 2.73
Ga  0.6250  0.6250  0.1249  6 Ga 2.73
Al  0.0000  0.0000  0.0000  12 Ga 3.20, 4 Np 3.34
Ga  0.1249  0.6250  0.6250  6 Ga 2.73
Np  0.2500  0.2500  0.2500  12 Ga 3.20, 4 Al 3.34

Properties
- V: 19.187 A^3/atom
- Symmetry: F-43m (216)
- Spin magnetization: 4.8 μB/f.u.

=====

What should be chosen as the least stable of them? Choose one.

=====

one | First-principles (PBE) data for crystalline NpAl2Ga at its relaxed geometry, as listed in Alexandria via LeMat-Bulk.

Cell: 4.7630 4.7630 4.7644 Å, 60.01 60.01 60.00°
With the nearest neighbours (Å) after each atom.
Fractional coordinates of all 4 atoms:
Ga  0.0000  0.0000  0.0000  8 Al 2.92
Al  0.2501  0.2501  0.2497  4 Ga 2.92, 4 Np 2.92
Al  0.7499  0.7499  0.7503  4 Ga 2.92, 4 Np 2.92
Np  0.5000  0.5000  0.5000  8 Al 2.92

Properties
- V: 19.110 A^3/atom
- Symmetry: Fm-3m (225)
- Spin magnetization: 3.9 μB/f.u.

=====

two | First-principles (PBE) data for crystalline NpAl2Ga at its relaxed geometry, as listed in Alexandria via LeMat-Bulk.

Cell: 2.7080 2.7080 9.3496 Å, 90.00 90.00 90.00°
With the nearest neighbours (Å) after each atom.
Fractional coordinates of all 4 atoms:
Al  0.0000  0.0000  0.7555  4 Al 2.71, 4 Ga 2.98
Ga  0.5000  0.5000  0.0000  4 Ga 2.71, 8 Al 2.98
Al  0.0000  0.0000  0.2445  4 Al 2.71, 4 Ga 2.98
Np  0.5000  0.5000  0.5000  4 Np 2.71

Properties
- V: 17.140 A^3/atom
- Symmetry: P4/mmm (123)
- Spin magnetization: 0.0 μB/f.u.

=====

What should be chosen as the least stable of them? Choose one.

=====

one | First-principles (PBE) data for crystalline NpAl2Ga at its relaxed geometry, as listed in Alexandria via LeMat-Bulk.

Cell: 4.2717 4.2503 4.2503 Å, 90.00 90.00 90.00°
With the nearest neighbours (Å) after each atom.
Fractional coordinates of all 4 atoms:
Al  0.0000  0.0000  0.5000  4 Al 3.01, 4 Np 3.01, 4 Ga 3.01
Ga  0.5000  0.0000  0.0000  4 Np 3.01, 8 Al 3.01
Al  0.0000  0.5000  0.0000  4 Al 3.01, 4 Ga 3.01, 4 Np 3.01
Np  0.5000  0.5000  0.5000  4 Ga 3.01, 8 Al 3.01

Properties
- V: 19.292 A^3/atom
- Symmetry: P4/mmm (123)
- Spin magnetization: 4.0 μB/f.u.

=====

two | First-principles (PBE) data for crystalline NpAl2Ga at its relaxed geometry, as listed in Alexandria via LeMat-Bulk.

Cell: 5.5415 4.5675 4.5675 Å, 60.00 90.00 90.00°
With the nearest neighbours (Å) after each atom.
Fractional coordinates of all 4 atoms:
Ga  0.5000  0.6667  0.6667  6 Al 2.64
Al  0.5000  0.3333  0.3333  3 Ga 2.64, 3 Al 2.64
Al  0.5000  0.0000  0.0000  3 Al 2.64, 3 Ga 2.64, 2 Np 2.77
Np  0.0000  0.0000  0.0000  2 Al 2.77

Properties
- V: 25.030 A^3/atom
- Symmetry: P-6m2 (187)
- Spin magnetization: 5.0 μB/f.u.

=====

What should be chosen as the least stable of them? Choose two.

=====

one | First-principles (PBE) data for crystalline NpAl4Ga at its relaxed geometry, as listed in Alexandria via LeMat-Bulk.

Cell: 3.9937 6.8470 8.4721 Å, 90.00 103.63 90.00°
With the nearest neighbours (Å) after each atom.
Fractional coordinates of all 12 atoms:
Np  0.6093  0.7500  0.2187  9 Al 3.03-3.19, 2 Ga 3.15
Al  0.5746  0.2500  0.1492  1 Ga 2.77, 8 Al 2.83-2.90, 1 Np 3.03
Np  0.3907  0.2500  0.7813  9 Al 3.03-3.19, 2 Ga 3.15
Al  0.8326  0.9408  0.6652  3 Ga 2.58-2.69, 4 Al 2.61-2.83
Al  0.0000  0.0000  0.0000  6 Al 2.79-2.90
Al  0.4254  0.7500  0.8508  1 Ga 2.77, 8 Al 2.83-2.90, 1 Np 3.03
Ga  0.7430  0.2500  0.4859  7 Al 2.58-2.77
Al  0.1674  0.0592  0.3348  3 Ga 2.58-2.69, 4 Al 2.61-2.83
Al  0.8326  0.5592  0.6652  3 Ga 2.58-2.69, 4 Al 2.61-2.83
Al  0.0000  0.5000  0.0000  6 Al 2.79-2.90
Ga  0.2570  0.7500  0.5141  7 Al 2.58-2.77
Al  0.1674  0.4408  0.3348  3 Ga 2.58-2.69, 4 Al 2.61-2.83

Properties
- V: 18.762 A^3/atom
- Symmetry: Cmcm (63)
- Spin magnetization: 4.3 μB/f.u.

=====

two | First-principles (PBE) data for crystalline NpAl4Ga at its relaxed geometry, as listed in Alexandria via LeMat-Bulk.

Cell: 5.4539 5.4539 5.4539 Å, 60.00 60.00 60.00°
With the nearest neighbours (Å) after each atom.
Fractional coordinates of all 6 atoms:
Al  0.1259  0.6247  0.6247  6 Al 2.72-2.73
Np  0.2500  0.2500  0.2500  12 Al 3.20, 4 Ga 3.34
Ga  0.0000  0.0000  0.0000  12 Al 3.20, 4 Np 3.34
Al  0.6247  0.1259  0.6247  6 Al 2.72-2.73
Al  0.6247  0.6247  0.1259  6 Al 2.72-2.73
Al  0.6247  0.6247  0.6247  6 Al 2.72-2.73

Properties
- V: 19.118 A^3/atom
- Symmetry: F-43m (216)
- Spin magnetization: 4.8 μB/f.u.

=====

What should be chosen as the least stable of them? Choose two.